[1]
ZrAlCu3 PBE-GGA relaxed; E_form = -0.2062 eV/atom; relative energy among the computed polymorphs = 0.000 eV per atom
1.0
-3.492 -4.848 -1.284
3.745 -1.480 -4.596
3.335 -3.413 3.817
Cu Zr Al
9 3 3
Direct
0.500 0.500 0.500
0.216 0.216 0.216
0.784 0.784 0.216
0.784 0.216 0.784
0.216 0.784 0.784
0.216 0.216 0.784
0.784 0.784 0.784
0.216 0.784 0.216
0.784 0.216 0.216
0.000 0.500 0.500
0.500 0.000 0.500
0.500 0.500 0.000
0.500 0.000 0.000
0.000 0.500 0.000
0.000 0.000 0.500



[2]
Zr3Al2Cu PBE-GGA relaxed; E_form = -0.0013 eV/atom; relative energy among the computed polymorphs = 0.295 eV per atom
1.0
-4.502 4.025 -0.842
1.921 -3.443 -4.651
-5.092 -5.312 1.829
Cu Zr Al
2 6 4
Direct
0.000 0.000 0.000
0.000 0.000 0.500
0.828 0.656 0.250
0.344 0.172 0.250
0.828 0.172 0.250
0.172 0.344 0.750
0.656 0.828 0.750
0.172 0.828 0.750
0.333 0.667 0.082
0.667 0.333 0.582
0.667 0.333 0.918
0.333 0.667 0.418



[3]
Zr3AlCu2 PBE-GGA relaxed; E_form = 0.4024 eV/atom; relative energy among the computed polymorphs = 0.639 eV per atom
1.0
0.352 5.550 -2.213
-1.174 -0.836 5.809
4.041 0.074 0.827
Zr Al Cu
3 1 2
Direct
0.000 0.500 0.500
0.500 0.500 0.500
0.500 0.000 0.500
0.000 0.000 0.000
0.667 0.333 0.000
0.333 0.667 0.000



[4]
Zr3Al3Cu PBE-GGA relaxed; E_form = 0.1271 eV/atom; relative energy among the computed polymorphs = 0.375 eV per atom
1.0
-4.058 0.832 -2.425
1.378 -4.018 -3.683
-5.028 -7.179 5.950
Cu Zr Al
2 6 6
Direct
0.250 0.750 0.299
0.750 0.250 0.701
0.250 0.498 0.594
0.250 0.002 0.594
0.750 0.998 0.406
0.750 0.502 0.406
0.250 0.250 0.096
0.750 0.750 0.904
0.250 0.480 0.861
0.250 0.020 0.861
0.750 0.980 0.139
0.750 0.520 0.139
0.250 0.250 0.353
0.750 0.750 0.647



[5]
Zr3AlCu PBE-GGA relaxed; E_form = -0.0830 eV/atom; relative energy among the computed polymorphs = 0.069 eV per atom
1.0
-2.566 5.372 -3.069
-6.118 -1.711 2.121
0.917 3.616 5.563
Cu Zr Al
3 9 3
Direct
0.000 0.500 0.500
0.500 0.000 0.500
0.500 0.500 0.000
0.500 0.500 0.500
0.247 0.247 0.247
0.753 0.753 0.247
0.753 0.247 0.753
0.247 0.753 0.753
0.247 0.247 0.753
0.753 0.753 0.753
0.247 0.753 0.247
0.753 0.247 0.247
0.500 0.000 0.000
0.000 0.500 0.000
0.000 0.000 0.500



[6]
Zr2Al3Cu PBE-GGA relaxed; E_form = -0.4112 eV/atom
1.0
-5.896 -1.394 -2.789
6.560 0.529 -1.082
0.482 -3.991 0.975
Al Cu Zr
3 1 2
Direct
0.336 0.664 0.000
0.664 0.336 0.000
0.500 0.500 0.500
0.000 0.000 0.000
0.158 0.842 0.500
0.842 0.158 0.500



Computed values of DOS at the Fermi energy (unit: states/eV/cell) for the preceding records, in sequence: 13.1 15.7 3.5 8.2 17.2 3.3.
Computed values of final energy (unit: eV/cell) for the preceding records, in sequence: -76.831 -74.467 -35.165 -80.157 -101.694 -34.887.
Computed values of total moment (unit: μB/atom) for the preceding records, in sequence: 0.00 0.01 0.00 0.00 0.00 0.00.